No. 1
A geometry-optimized CePu6 structure. Source: the Alexandria database, functional PBE.

Cell: 5.8019 5.8019 5.8019 Å, 109.47 109.47 109.47°
Site moments in Bohr magnetons follow the coordinates.
Sites, in units of the cell vectors:
Pu 0.5000 0.2500 0.7500  -0.01
Pu 0.7500 0.2500 0.5000  -0.01
Pu 0.2500 0.7500 0.5000  -0.01
Ce 0.0000 0.0000 0.0000  0.70
Pu 0.2500 0.5000 0.7500  -0.01
Pu 0.5000 0.7500 0.2500  -0.01
Pu 0.7500 0.5000 0.2500  -0.01

Summary:
Formation enthalpy at 0 K ... 1.15 eV per formula unit
Crystal system ... cubic

No. 2
A geometry-optimized Rb2Ce2PuS6 structure. Source: the Alexandria database, functional PBE.

Cell: 7.1746 7.1746 8.1453 Å, 98.42 98.42 119.91°
Site moments in Bohr magnetons follow the coordinates.
Sites, in units of the cell vectors:
S 0.9415 0.6071 0.3152  -0.05
S 0.0585 0.3929 0.6848  -0.05
S 0.6071 0.9415 0.3152  -0.05
Rb 0.8329 0.1671 0.0000  0.00
S 0.7333 0.7333 0.6853  -0.05
Rb 0.1671 0.8329 0.0000  0.00
Ce 0.3342 0.6658 0.5000  0.61
Pu 0.0000 0.0000 0.5000  4.94
S 0.2667 0.2667 0.3147  -0.05
S 0.3929 0.0585 0.6848  -0.05
Ce 0.6658 0.3342 0.5000  0.61

Summary:
Uncorrected formation energy ... -1.7318 eV per atom
Crystal system ... monoclinic

No. 3
A geometry-optimized Rb3Ce3PuS8 structure. Source: the Alexandria database, functional PBE.

Cell: 8.3408 8.3416 9.1269 Å, 117.20 90.00 120.00°
Site moments in Bohr magnetons follow the coordinates.
Sites, in units of the cell vectors:
S 0.2685 0.5370 0.3057  -0.02
S 0.7317 0.9585 0.6852  -0.05
Ce 0.5000 0.0000 0.5000  0.72
Pu 0.0000 0.0000 0.5000  4.96
Rb 0.0000 0.5000 0.0000  0.00
Rb 0.0000 0.0000 0.0000  0.00
S 0.2268 0.9585 0.6852  -0.05
Ce 0.5000 0.5000 0.5000  0.72
S 0.7315 0.4630 0.6943  -0.02
Rb 0.5000 0.5000 0.0000  0.00
S 0.7732 0.0415 0.3148  -0.05
S 0.2683 0.0415 0.3148  -0.05
S 0.2268 0.4536 0.6852  -0.05
Ce 0.0000 0.5000 0.5000  0.72
S 0.7732 0.5464 0.3148  -0.05

Summary:
Uncorrected formation energy ... -1.7454 eV per atom
Crystal system ... trigonal

No. 4
A geometry-optimized RbCePuS4 structure. Source: the Alexandria database, functional PBE.

Cell: 8.4909 8.5571 8.6219 Å, 120.25 90.00 119.74°
Site moments in Bohr magnetons follow the coordinates.
Sites, in units of the cell vectors:
Ce 0.5000 0.0000 0.5000  0.48
S 0.7285 0.4570 0.2765  -0.10
Rb 0.1285 0.2571 0.8785  0.00
S 0.3163 0.0459 0.2729  -0.06
Pu 0.5000 0.5000 0.5000  4.84
S 0.2715 0.5430 0.3194  -0.10
Ce 0.5000 0.0000 0.0000  0.48
S 0.6837 0.9541 0.7271  -0.06
S 0.7285 0.4570 0.6806  -0.10
S 0.2704 0.9541 0.7271  -0.06
S 0.7296 0.0459 0.2729  -0.06
Pu 0.0000 0.5000 0.5000  4.84
Rb 0.8715 0.7429 0.1215  0.00
S 0.2715 0.5430 0.7235  -0.10

Summary:
Uncorrected formation energy ... -1.6185 eV per atom
Crystal system ... orthorhombic

No. 5
A geometry-optimized Rb2CePuSe4 structure. Source: the Alexandria database, functional PBE.

Cell: 4.3627 7.5561 8.3615 Å, 107.55 90.00 90.00°
Site moments in Bohr magnetons follow the coordinates.
Sites, in units of the cell vectors:
Se 0.5000 0.2310 0.1954  -0.07
Rb 0.0000 0.5000 0.5000  0.00
Ce 0.5000 0.5000 0.0000  0.84
Se 0.5000 0.7690 0.8046  -0.07
Pu 0.0000 0.0000 0.0000  5.21
Se 0.0000 0.7328 0.1979  -0.04
Rb 0.5000 0.0000 0.5000  0.00
Se 0.0000 0.2672 0.8021  -0.04

Summary:
Uncorrected formation energy ... -1.5642 eV per atom
Crystal system ... monoclinic

No. 6
A geometry-optimized Rb4Ce3PuSe8 structure. Source: the Alexandria database, functional PBE.

Cell: 8.7749 9.4467 8.7763 Å, 117.68 119.99 90.00°
Site moments in Bohr magnetons follow the coordinates.
Sites, in units of the cell vectors:
Se 0.2324 0.6973 0.4649  -0.04
Rb 0.0000 0.0000 0.5000  0.00
Se 0.2675 0.3026 0.0350  -0.04
Se 0.7333 0.6998 0.4667  -0.02
Ce 0.5000 0.5000 0.0000  0.89
Se 0.7675 0.3026 0.0350  -0.04
Pu 0.0000 0.5000 0.0000  5.27
Se 0.7325 0.6974 0.9650  -0.04
Se 0.2667 0.3002 0.5333  -0.02
Ce 0.5000 0.5000 0.5000  0.89
Rb 0.5000 0.0000 0.5000  0.00
Se 0.2325 0.6974 0.9650  -0.04
Se 0.7676 0.3027 0.5351  -0.04
Ce 0.0000 0.5000 0.5000  0.89
Rb 0.5000 0.0000 0.0000  0.00
Rb 0.0000 0.0000 0.0000  0.00

Summary:
Uncorrected formation energy ... -1.6196 eV per atom
Crystal system ... trigonal

No. 7
A geometry-optimized Rb3Ce3PuSe8 structure. Source: the Alexandria database, functional PBE.

Cell: 8.6591 8.6592 9.4952 Å, 117.13 90.00 120.00°
Site moments in Bohr magnetons follow the coordinates.
Sites, in units of the cell vectors:
Se 0.7703 0.0390 0.3092  -0.05
Ce 0.5000 0.0000 0.5000  0.72
Se 0.7702 0.5405 0.3092  -0.05
Se 0.7313 0.9610 0.6908  -0.05
Pu 0.0000 0.0000 0.5000  5.05
Se 0.2687 0.0390 0.3092  -0.05
Se 0.7327 0.4655 0.6982  -0.02
Ce 0.5000 0.5000 0.5000  0.72
Ce 0.0000 0.5000 0.5000  0.72
Rb 0.0000 0.5000 0.0000  0.00
Rb 0.5000 0.5000 0.0000  0.00
Se 0.2673 0.5345 0.3018  -0.02
Rb 0.0000 0.0000 0.0000  0.00
Se 0.2297 0.9610 0.6908  -0.05
Se 0.2298 0.4595 0.6908  -0.05

Summary:
Uncorrected formation energy ... -1.6267 eV per atom
Crystal system ... trigonal

No. 8
A geometry-optimized Rb2CePuTe4 structure. Source: the Alexandria database, functional PBE.

Cell: 4.6500 8.0575 8.9283 Å, 107.52 90.00 90.00°
Site moments in Bohr magnetons follow the coordinates.
Sites, in units of the cell vectors:
Te 0.5000 0.7671 0.7999  -0.07
Ce 0.5000 0.5000 0.0000  0.84
Rb 0.0000 0.5000 0.5000  0.00
Te 0.0000 0.7339 0.2023  -0.04
Te 0.5000 0.2329 0.2001  -0.07
Rb 0.5000 0.0000 0.5000  0.00
Pu 0.0000 0.0000 0.0000  5.29
Te 0.0000 0.2661 0.7977  -0.04

Summary:
Uncorrected formation energy ... -1.2262 eV per atom
Crystal system ... monoclinic

no.,calculated volume (Å³/cell)
1,150
2,348
3,467
4,443
5,263
6,532
7,524
8,319